1.
ReGeH3 after structural relaxation. Source: Alexandria via LeMat-Bulk, functional PBE-GGA.

POSCAR file:
```
ReGeH3
1.0
3.492 0.000 0.000
0.000 3.492 0.000
0.000 0.000 3.492
Re Ge H
1 1 3
Cartesian
0.000 0.000 0.000 Re
1.746 1.746 1.746 Ge
0.000 1.746 1.746 H
1.746 0.000 1.746 H
1.746 1.746 0.000 H
```

Results
Final energy ... -0.1474 hartree per atom
Space-group type ... Pm-3m, No. 221
Crystal system ... cubic


2.
ReGe2H after structural relaxation. Source: Alexandria via LeMat-Bulk, functional PBE-GGA.

POSCAR file:
```
ReGe2H
1.0
-2.373 2.373 5.415
2.373 -2.373 5.415
2.373 2.373 -5.415
Re Ge H
2 4 2
Cartesian
0.000 0.000 0.000 Re
0.000 2.373 2.708 Re
1.186 -0.700 4.062 Ge
1.672 1.186 1.354 Ge
1.186 3.073 -1.354 Ge
0.700 1.186 6.769 Ge
2.373 0.000 2.708 H
0.000 0.000 5.415 H
```

Results
Final energy ... -0.1955 hartree per atom
Space-group type ... I-42d, No. 122
Crystal system ... tetragonal


3.
ReGe2H2 after structural relaxation. Source: Alexandria via LeMat-Bulk, functional PBE-GGA.

POSCAR file:
```
ReGe2H2
1.0
5.873 0.000 0.000
0.000 5.873 0.000
0.000 0.000 3.129
Re Ge H
2 4 4
Cartesian
0.000 0.000 0.000 Re
2.937 2.937 0.000 Re
0.881 2.055 1.564 Ge
2.055 4.992 1.564 Ge
3.818 0.881 1.564 Ge
4.992 3.818 1.564 Ge
1.162 4.099 0.000 H
1.775 1.162 0.000 H
4.099 4.711 0.000 H
4.711 1.775 0.000 H
```

Results
Final energy ... -0.1900 hartree per atom
Space-group type ... P4/mbm, No. 127
Crystal system ... tetragonal


4.
Re2GeH after structural relaxation. Source: Alexandria via LeMat-Bulk, functional PBE-GGA.

POSCAR file:
```
Re2GeH
1.0
-2.458 2.458 4.601
2.458 -2.458 4.601
2.458 2.458 -4.601
Re Ge H
4 2 2
Cartesian
0.496 1.229 1.150 Re
-1.229 1.963 3.451 Re
-0.496 3.688 1.150 Re
1.229 2.954 3.451 Re
2.458 0.000 2.301 Ge
0.000 0.000 4.601 Ge
0.000 0.000 0.000 H
0.000 2.458 2.301 H
```

Results
Final energy ... -0.2736 hartree per atom
Space-group type ... I-42d, No. 122
Crystal system ... tetragonal


5.
ReGe2HW after structural relaxation. Source: Alexandria via LeMat-Bulk, functional PBE-GGA.

POSCAR file:
```
ReGe2HW
1.0
4.410 0.000 0.000
0.000 4.410 0.000
0.000 0.000 3.310
Re Ge H W
1 2 1 1
Cartesian
0.000 0.000 0.000 Re
0.000 2.205 1.655 Ge
2.205 0.000 1.655 Ge
0.000 0.000 1.655 H
2.205 2.205 0.000 W
```

Results
Final energy ... -0.2612 hartree per atom
Space-group type ... P4/mmm, No. 123
Crystal system ... tetragonal


6.
GeHRh after structural relaxation. Source: Alexandria via LeMat-Bulk, functional PBE-GGA.

POSCAR file:
```
GeHRh
1.0
4.905 0.000 0.000
0.000 3.212 0.000
0.000 0.000 4.945
Ge H Rh
2 2 2
Cartesian
1.226 0.000 0.990 Ge
3.679 0.000 3.954 Ge
1.226 1.606 4.139 H
3.679 1.606 0.805 H
1.226 0.000 3.443 Rh
3.679 0.000 1.501 Rh
```

Results
Final energy ... -0.1906 hartree per atom
Space-group type ... Pmma, No. 51
Crystal system ... orthorhombic


7.
GeH3Rh3 after structural relaxation. Source: Alexandria via LeMat-Bulk, functional PBE-GGA.

POSCAR file:
```
GeH3Rh3
1.0
7.464 0.000 0.000
-3.732 6.464 0.000
0.000 0.000 2.884
Ge H Rh
2 6 6
Cartesian
0.000 4.310 0.721 Ge
3.732 2.155 2.163 Ge
-2.712 5.206 2.163 H
0.580 1.513 2.163 H
1.600 0.255 0.721 H
2.132 6.210 2.163 H
3.153 4.951 0.721 H
6.444 1.258 0.721 H
-0.931 2.423 2.163 Rh
-1.169 6.059 2.163 Rh
1.633 2.017 0.721 Rh
2.099 4.447 2.163 Rh
4.901 0.405 0.721 Rh
4.663 4.041 0.721 Rh
```

Results
Final energy ... -0.1987 hartree per atom
Space-group type ... P6_3/m, No. 176
Crystal system ... hexagonal


8.
GeH3Rh after structural relaxation. Source: Alexandria via LeMat-Bulk, functional PBE-GGA.

POSCAR file:
```
GeH3Rh
1.0
3.572 0.000 0.000
0.000 3.572 0.000
0.000 0.000 3.572
Ge H Rh
1 3 1
Cartesian
0.000 0.000 0.000 Ge
0.000 1.786 1.786 H
1.786 0.000 1.786 H
1.786 1.786 0.000 H
1.786 1.786 1.786 Rh
```

Results
Final energy ... -0.1558 hartree per atom
Space-group type ... Pm-3m, No. 221
Crystal system ... cubic


9.
GeH8Rh6 after structural relaxation. Source: Alexandria via LeMat-Bulk, functional PBE-GGA.

POSCAR file:
```
GeH8Rh6
1.0
2.522 1.456 6.258
-2.522 1.456 6.258
0.000 -2.912 6.258
Ge H Rh
1 8 6
Cartesian
0.000 0.000 0.000 Ge
-0.810 -1.496 8.752 H
-1.700 -0.047 10.021 H
0.000 0.000 7.247 H
-0.891 1.449 8.752 H
0.891 -1.449 10.021 H
0.000 0.000 11.526 H
1.700 0.047 8.752 H
0.810 1.496 10.021 H
-1.664 0.003 8.035 Rh
-0.834 -1.439 10.738 Rh
0.830 -1.442 8.035 Rh
-0.830 1.442 10.738 Rh
0.834 1.439 8.035 Rh
1.664 -0.003 10.738 Rh
```

Results
Final energy ... -0.1848 hartree per atom
Space-group type ... R-3, No. 148
Crystal system ... trigonal


10.
Ge3H5Rh12 after structural relaxation. Source: Alexandria via LeMat-Bulk, functional PBE-GGA.

POSCAR file:
```
Ge3H5Rh12
1.0
-6.212 6.212 6.212
6.212 -6.212 6.212
6.212 6.212 -6.212
Ge H Rh
12 20 48
Cartesian
3.106 1.553 0.000 Ge
6.212 3.106 -1.553 Ge
1.553 0.000 3.106 Ge
7.765 0.000 3.106 Ge
0.000 3.106 1.553 Ge
3.106 -1.553 6.212 Ge
3.106 7.765 0.000 Ge
6.212 3.106 4.659 Ge
-1.553 6.212 3.106 Ge
4.659 6.212 3.106 Ge
0.000 3.106 7.765 Ge
3.106 4.659 6.212 Ge
0.000 0.000 0.000 H
3.106 3.106 -3.106 H
3.106 -3.106 3.106 H
6.212 0.000 0.000 H
9.317 1.553 0.000 H
6.212 -3.106 4.659 H
4.659 6.212 -3.106 H
4.659 0.000 3.106 H
3.106 4.659 0.000 H
6.212 3.106 1.553 H
-3.106 3.106 3.106 H
0.000 6.212 0.000 H
0.000 0.000 6.212 H
3.106 3.106 3.106 H
0.000 3.106 4.659 H
3.106 1.553 6.212 H
1.553 6.212 3.106 H
1.553 0.000 9.317 H
0.000 9.317 1.553 H
-3.106 4.659 6.212 H
1.839 -0.468 0.657 Rh
7.479 3.763 -3.574 Rh
8.051 0.468 0.657 Rh
7.479 -2.448 3.574 Rh
5.744 -0.657 1.839 Rh
9.785 -1.267 2.448 Rh
0.657 1.839 -0.468 Rh
8.660 2.638 -1.267 Rh
3.763 3.574 -1.267 Rh
5.554 1.839 0.468 Rh
-0.468 0.657 1.839 Rh
3.574 -1.267 3.763 Rh
5.744 5.554 -1.839 Rh
3.574 1.267 2.448 Rh
3.763 -3.574 7.479 Rh
5.554 -1.839 5.744 Rh
2.448 3.574 1.267 Rh
6.869 4.373 0.468 Rh
3.574 7.479 -2.448 Rh
5.744 0.657 4.373 Rh
1.839 5.744 -0.657 Rh
7.479 2.448 2.638 Rh
1.267 2.448 3.574 Rh
1.839 0.468 5.554 Rh
4.373 5.744 0.657 Rh
4.945 3.763 2.638 Rh
-1.267 3.763 3.574 Rh
4.373 0.468 6.869 Rh
0.468 5.554 1.839 Rh
2.638 -1.267 8.660 Rh
-0.657 1.839 5.744 Rh
3.763 2.638 4.945 Rh
0.657 8.051 0.468 Rh
2.448 9.785 -1.267 Rh
2.638 4.945 3.763 Rh
0.468 0.657 8.051 Rh
2.638 7.479 2.448 Rh
6.679 5.554 4.373 Rh
0.657 4.373 5.744 Rh
2.448 2.638 7.479 Rh
-2.448 3.574 7.479 Rh
5.554 4.373 6.679 Rh
-3.574 7.479 3.763 Rh
0.468 6.869 4.373 Rh
-1.267 8.660 2.638 Rh
-1.839 5.744 5.554 Rh
-1.267 2.448 9.785 Rh
4.373 6.679 5.554 Rh
```

Results
Final energy ... -0.2220 hartree per atom
Space-group type ... Ia-3d, No. 230
Crystal system ... cubic


11.
Ge2H2Rh after structural relaxation. Source: Alexandria via LeMat-Bulk, functional PBE-GGA.

POSCAR file:
```
Ge2H2Rh
1.0
-1.516 1.516 5.978
1.516 -1.516 5.978
1.516 1.516 -5.978
Ge H Rh
2 2 1
Cartesian
0.000 0.000 1.592 Ge
0.000 0.000 10.363 Ge
1.516 0.000 2.989 H
0.000 1.516 2.989 H
0.000 0.000 5.978 Rh
```

Results
Final energy ... -0.1631 hartree per atom
Space-group type ... I4/mmm, No. 139
Crystal system ... tetragonal


12.
GeH2Rh after structural relaxation. Source: Alexandria via LeMat-Bulk, functional PBE-GGA.

POSCAR file:
```
GeH2Rh
1.0
0.000 2.687 2.687
2.687 0.000 2.687
2.687 2.687 0.000
Ge H Rh
1 2 1
Cartesian
0.000 0.000 0.000 Ge
1.344 1.344 1.344 H
4.031 4.031 4.031 H
2.687 2.687 2.687 Rh
```

Results
Final energy ... -0.1457 hartree per atom
Space-group type ... Fm-3m, No. 225
Crystal system ... cubic


13.
GeHRh4 after structural relaxation. Source: Alexandria via LeMat-Bulk, functional PBE-GGA.

POSCAR file:
```
GeHRh4
1.0
4.012 0.000 0.000
0.000 3.931 0.000
-2.006 0.000 4.973
Ge H Rh
1 1 4
Cartesian
0.000 0.000 0.000 Ge
0.009 1.965 3.489 H
0.002 1.965 1.510 Rh
0.000 0.000 3.520 Rh
2.007 0.000 1.456 Rh
2.008 1.965 3.401 Rh
```

Results
Final energy ... -0.2329 hartree per atom
Space-group type ... Pm, No. 6
Crystal system ... monoclinic


14.
Ge2HRh4 after structural relaxation. Source: Alexandria via LeMat-Bulk, functional PBE-GGA.

POSCAR file:
```
Ge2HRh4
1.0
-1.911 1.911 6.334
1.911 -1.911 6.334
1.911 1.911 -6.334
Ge H Rh
2 1 4
Cartesian
0.000 0.000 1.735 Ge
0.000 0.000 10.933 Ge
0.000 0.000 6.334 H
1.911 0.000 0.000 Rh
0.000 0.000 4.110 Rh
0.000 1.911 0.000 Rh
0.000 0.000 8.557 Rh
```

Results
Final energy ... -0.2319 hartree per atom
Space-group type ... I4/mmm, No. 139
Crystal system ... tetragonal


15.
GeHRh after structural relaxation. Source: Alexandria via LeMat-Bulk, functional PBE-GGA.

POSCAR file:
```
GeHRh
1.0
-1.516 1.516 4.635
1.516 -1.516 4.635
1.516 1.516 -4.635
Ge H Rh
1 1 1
Cartesian
0.000 0.000 0.000 Ge
0.000 0.000 1.632 H
0.000 0.000 3.440 Rh
```

Results
Final energy ... -0.1906 hartree per atom
Space-group type ... I4mm, No. 107
Crystal system ... tetragonal


16.
GeH2Rh after structural relaxation. Source: Alexandria via LeMat-Bulk, functional PBE-GGA.

POSCAR file:
```
GeH2Rh
1.0
-2.064 2.064 4.904
2.064 -2.064 4.904
2.064 2.064 -4.904
Ge H Rh
2 4 2
Cartesian
0.000 0.000 0.000 Ge
0.000 2.064 2.452 Ge
1.032 -0.617 3.678 H
1.447 1.032 1.226 H
1.032 2.681 -1.226 H
0.617 1.032 6.130 H
2.064 0.000 2.452 Rh
0.000 0.000 4.904 Rh
```

Results
Final energy ... -0.1635 hartree per atom
Space-group type ... I-42d, No. 122
Crystal system ... tetragonal


17.
GeH3Rh after structural relaxation. Source: Alexandria via LeMat-Bulk, functional PBE-GGA.

POSCAR file:
```
GeH3Rh
1.0
3.577 0.000 0.000
0.000 3.577 0.000
0.000 0.000 3.577
Ge H Rh
1 3 1
Cartesian
0.000 0.000 0.000 Ge
0.000 0.000 1.789 H
0.000 1.789 0.000 H
1.789 0.000 0.000 H
1.789 1.789 1.789 Rh
```

Results
Final energy ... -0.1299 hartree per atom
Space-group type ... Pm-3m, No. 221
Crystal system ... cubic


18.
Sc2GeHRh after structural relaxation. Source: Alexandria via LeMat-Bulk, functional PBE-GGA.

POSCAR file:
```
Sc2GeHRh
1.0
4.465 0.000 0.000
0.000 4.465 0.000
0.000 0.000 3.690
Sc Ge H Rh
2 1 1 1
Cartesian
0.000 2.233 0.000 Sc
2.233 0.000 0.000 Sc
0.000 0.000 1.845 Ge
2.233 2.233 0.000 H
2.233 2.233 1.845 Rh
```

Results
Final energy ... -0.2328 hartree per atom
Space-group type ... P4/mmm, No. 123
Crystal system ... tetragonal


19.
ScGeHRh2 after structural relaxation. Source: Alexandria via LeMat-Bulk, functional PBE-GGA.

POSCAR file:
```
ScGeHRh2
1.0
4.034 0.000 0.000
0.000 4.034 0.000
0.000 0.000 3.959
Sc Ge H Rh
1 1 1 2
Cartesian
0.000 0.000 0.000 Sc
2.017 2.017 0.000 Ge
0.000 0.000 1.979 H
0.000 2.017 1.979 Rh
2.017 0.000 1.979 Rh
```

Results
Final energy ... -0.2352 hartree per atom
Space-group type ... P4/mmm, No. 123
Crystal system ... tetragonal


20.
SmGeHRh2 after structural relaxation. Source: Alexandria via LeMat-Bulk, functional PBE-GGA.

POSCAR file:
```
SmGeHRh2
1.0
1.922 -5.441 0.000
1.922 5.441 0.000
0.000 0.000 7.316
Sm Ge H Rh
2 2 2 4
Cartesian
1.922 4.846 5.487 Sm
1.922 -4.846 1.829 Sm
1.922 2.985 1.829 Ge
1.922 -2.985 5.487 Ge
1.922 0.000 0.000 H
1.922 0.000 3.658 H
1.922 1.692 4.044 Rh
1.922 1.692 6.930 Rh
1.922 -1.692 0.386 Rh
1.922 -1.692 3.272 Rh
```

Results
Final energy ... -0.2286 hartree per atom
Space-group type ... Cmcm, No. 63
Crystal system ... orthorhombic


21.
SmGeHRh after structural relaxation. Source: Alexandria via LeMat-Bulk, functional PBE-GGA.

POSCAR file:
```
SmGeHRh
1.0
4.109 0.000 0.000
0.000 4.109 0.000
0.000 0.000 7.517
Sm Ge H Rh
2 2 2 2
Cartesian
1.027 1.027 1.198 Sm
3.081 3.081 6.319 Sm
1.027 1.027 5.153 Ge
3.081 3.081 2.365 Ge
1.027 3.081 0.000 H
3.081 1.027 0.000 H
1.027 3.081 3.759 Rh
3.081 1.027 3.759 Rh
```

Results
Final energy ... -0.2151 hartree per atom
Space-group type ... P4/nmm, No. 129
Crystal system ... tetragonal


22.
Sr2GeHRh after structural relaxation. Source: Alexandria via LeMat-Bulk, functional PBE-GGA.

POSCAR file:
```
Sr2GeHRh
1.0
5.390 0.000 0.000
0.000 5.390 0.000
0.000 0.000 3.671
Sr Ge H Rh
2 1 1 1
Cartesian
0.000 2.695 0.000 Sr
2.695 0.000 0.000 Sr
0.000 0.000 1.835 Ge
2.695 2.695 0.000 H
2.695 2.695 1.835 Rh
```

Results
Final energy ... -0.1513 hartree per atom
Space-group type ... P4/mmm, No. 123
Crystal system ... tetragonal